A plane-wave DFT calculation with PBE-GGA was carried out for an optimized crystal structure of ScSn3O.

The structure in POSCAR format:
```
ScSn3O
1.0
4.7538 0.0000 0.0000
0.0000 4.7538 0.0000
0.0000 0.0000 4.7538
Sc Sn O
1 3 1
direct
0.0000 0.0000 0.0000
0.0000 0.5000 0.5000
0.5000 0.0000 0.5000
0.5000 0.5000 0.0000
0.5000 0.5000 0.5000
```

Volume: 21.5 A^3/atom
Energy: -5.1103 eV/atom
Polymorph energy (0 for the lowest one): 0.0000 eV per atom
Energy relative to the elements, uncorrected: -0.451 eV/atom
Magnetization: 0.000 μB/cell